Record 1
First-principles (PBE) data for crystalline PmThCoBr at its relaxed geometry, as listed in Alexandria.

Structure (CIF):
```
data_PmThCoBr
_cell_length_a 4.0136
_cell_length_b 4.0136
_cell_length_c 23.5477
_cell_angle_alpha 90.00
_cell_angle_beta 90.00
_cell_angle_gamma 120.00
_symmetry_space_group_name_H-M 'R 3 m'
_symmetry_Int_Tables_number 160
_symmetry_space_group_name_Hall 'R 3 -2"'
loop_
_atom_site_label
_atom_site_fract_x
_atom_site_fract_y
_atom_site_fract_z
_atom_site_occupancy
Pm1 0.0000 0.0000 0.0000 1
Th1 0.0000 0.0000 0.2107 1
Co1 0.0000 0.0000 0.5986 1
Br1 0.0000 0.0000 0.7696 1
```

Summary:
DOS at the Fermi energy, states/eV per cell: 8.96
Volume, Å³/atom: 27.374
Theoretical density, g/cm3: 7.82
Formation energy (no corrections), eV per atom: -0.73



Record 2
First-principles (PBE) data for crystalline K3YMo at its relaxed geometry, as listed in Alexandria.

Structure (CIF):
```
data_K3YMo
_cell_length_a 6.0245
_cell_length_b 6.0245
_cell_length_c 6.0245
_cell_angle_alpha 90.00
_cell_angle_beta 90.00
_cell_angle_gamma 90.00
_symmetry_space_group_name_H-M 'P m -3 m'
_symmetry_Int_Tables_number 221
_symmetry_space_group_name_Hall '-P 4 2 3'
loop_
_atom_site_label
_atom_site_fract_x
_atom_site_fract_y
_atom_site_fract_z
_atom_site_occupancy
K1 0.0000 0.0000 0.5000 1
Y1 0.5000 0.5000 0.5000 1
Mo1 0.0000 0.0000 0.0000 1
```

Summary:
DOS at the Fermi energy, states/eV per cell: 7.63
Volume, Å³/atom: 43.731
Offset from the most stable computed form, eV/atom: 0.000
Theoretical density, g/cm3: 2.29